No. 1
Er2PaPb: optimized geometry, PBE.

Structure (extended XYZ):
```
4
Lattice="4.542 0.000 0.000 0.000 4.875 0.000 0.000 0.000 4.875" Properties=species:S:1:pos:R:3 pbc="T T T"
Pb 2.271 0.000 0.000
Pa 2.271 2.437 2.437
Er 0.000 0.000 2.437
Er 0.000 2.437 0.000
```

Properties
As for the offset from the most stable computed form: 0.76 kcal/mol of atoms. The value obtained for the formation enthalpy at 0 K is -0.04 eV per atom.

***

No. 2
ZnCu4Si: optimized geometry, PBE.

Structure (extended XYZ):
```
12
Lattice="-1.415 3.165 0.289 -2.739 -1.591 4.021 7.286 0.860 5.304" Properties=species:S:1:pos:R:3 pbc="T T T"
Zn 1.628 2.306 3.651
Zn 1.504 0.128 5.963
Cu 0.000 0.000 0.000
Cu -1.370 -0.796 2.011
Cu -0.788 -0.865 5.616
Cu 2.569 2.514 5.981
Cu 0.563 -0.080 3.633
Cu 3.920 3.299 3.998
Cu -0.408 1.550 1.965
Cu 3.540 0.884 7.649
Si 4.865 1.663 5.602
Si -1.733 0.771 4.012
```

Properties
As for the offset from the most stable computed form: 0.00 kcal/mol of atoms. For the energy relative to the elements, uncorrected, the calculation gives 0.005 eV per atom.